A relaxed SnP3 crystal, computed with GGA-PBE.

abc: 3.912 4.991 4.072
angles: 90.00 90.00 90.00
Atoms (fractional coordinates):
1 Sn 0.000 0.000 0.000
2 P 0.000 0.500 0.215
3 P 0.500 0.000 0.575
4 P 0.500 0.500 0.516

Summary:
calculated volume	79.5	Å³/f.u.
energy above the most stable polymorph in this dataset	149	meV per atom
ΔE_f	0.14	eV per atom
DFT total energy	-4.920	eV per atom

A relaxed Li2Pm2DyIn2 crystal, computed with GGA-PBE.

abc: 9.357 9.357 9.357
angles: 30.26 30.26 30.26
Atoms (fractional coordinates):
1 Li 0.109 0.109 0.109
2 Li 0.891 0.891 0.891
3 Pm 0.373 0.373 0.373
4 Pm 0.627 0.627 0.627
5 Dy 0.500 0.500 0.500
6 In 0.235 0.235 0.235
7 In 0.765 0.765 0.765

Summary:
calculated volume	184.4	Å³/f.u.
ΔE_f	-0.24	eV per atom
DFT total energy	-3.582	eV per atom

A relaxed TlTe3 crystal, computed with GGA-PBE.

abc: 6.512 6.512 6.512
angles: 117.10 117.10 117.10
Atoms (fractional coordinates):
1 Tl 0.000 0.000 0.000
2 Te 0.000 0.500 0.500
3 Te 0.500 0.000 0.500
4 Te 0.500 0.500 0.000

Summary:
raw formation energy	108	meV per atom
calculated volume	119.9	Å³/f.u.
DFT total energy	-2.840	eV per atom

A relaxed ThPaZnPd crystal, computed with GGA-PBE.

abc: 5.067 5.067 5.067
angles: 60.00 60.00 60.00
Atoms (fractional coordinates):
1 Th 0.000 0.000 0.000
2 Pa 0.500 0.500 0.500
3 Zn 0.750 0.750 0.750
4 Pd 0.250 0.250 0.250

Summary:
calculated volume	92.0	Å³/f.u.
ΔE_f	-0.16	eV per atom
DFT total energy	-6.008	eV per atom

A relaxed CeTm2Hg3 crystal, computed with GGA-PBE.

abc: 3.672 3.672 11.492
angles: 90.00 90.00 90.00
Atoms (fractional coordinates):
1 Ce 0.000 0.000 0.000
2 Tm 0.000 0.000 0.340
3 Tm 0.000 0.000 0.660
4 Hg 0.500 0.500 0.185
5 Hg 0.500 0.500 0.500
6 Hg 0.500 0.500 0.815

Summary:
calculated volume	155.0	Å³/f.u.
ΔE_f	-0.42	eV per atom
DFT total energy	-3.049	eV per atom

A relaxed VAgB2 crystal, computed with GGA-PBE.

abc: 3.919 3.919 3.919
angles: 60.00 60.00 60.00
Atoms (fractional coordinates):
1 V 0.000 0.000 0.000
2 Ag 0.500 0.500 0.500
3 B 0.250 0.250 0.250
4 B 0.750 0.750 0.750

Summary:
calculated volume	42.6	Å³/f.u.
energy above the most stable polymorph in this dataset	0	meV per atom
ΔE_f	0.84	eV per atom
DFT total energy	-5.489	eV per atom

A relaxed ZnCoAs2 crystal, computed with GGA-PBE.

abc: 5.002 5.002 5.002
angles: 135.28 135.28 65.10
Atoms (fractional coordinates):
1 Zn 0.000 0.000 0.000
2 Co 0.750 0.250 0.500
3 As 0.250 0.750 0.500
4 As 0.500 0.500 0.000

Summary:
calculated volume	61.1	Å³/f.u.
ΔE_f	0.31	eV per atom
DFT total energy	-4.112	eV per atom

A relaxed Ba2Ca4Bi3H2 crystal, computed with GGA-PBE.

abc: 13.878 13.878 13.878
angles: 159.13 159.13 29.68
Atoms (fractional coordinates):
1 Ba 0.197 0.197 0.000
2 Ba 0.803 0.803 0.000
3 Ca 0.079 0.579 0.500
4 Ca 0.421 0.921 0.500
5 Ca 0.579 0.079 0.500
6 Ca 0.921 0.421 0.500
7 Bi 0.336 0.336 0.000
8 Bi 0.500 0.500 0.000
9 Bi 0.664 0.664 0.000
10 H 0.090 0.090 0.000
11 H 0.910 0.910 0.000

Summary:
calculated volume	338.9	Å³/f.u.
DFT total energy	-3.532	eV per atom

A relaxed SbPd6Au crystal, computed with GGA-PBE.

abc: 5.687 5.687 4.657
angles: 90.00 90.00 120.00
Atoms (fractional coordinates):
1 Sb 0.000 0.000 0.000
2 Pd 0.000 0.500 0.000
3 Pd 0.335 0.167 0.500
4 Pd 0.500 0.000 0.000
5 Pd 0.500 0.500 0.000
6 Pd 0.833 0.167 0.500
7 Pd 0.833 0.665 0.500
8 Au 0.333 0.667 0.500

Summary:
raw formation energy	-245	meV per atom
calculated volume	130.4	Å³/f.u.
energy above the most stable polymorph in this dataset	0	meV per atom
DFT total energy	-5.065	eV per atom

A relaxed NaMgS2 crystal, computed with GGA-PBE.

abc: 5.963 5.963 5.963
angles: 107.13 107.13 114.26
Atoms (fractional coordinates):
1 Na 0.000 0.000 0.000
2 Na 0.750 0.250 0.500
3 Mg 0.250 0.750 0.500
4 Mg 0.500 0.500 0.000
5 S 0.154 0.125 0.529
6 S 0.375 0.846 0.971
7 S 0.596 0.625 0.471
8 S 0.875 0.404 0.029

Summary:
raw formation energy	-823	meV per atom
calculated volume	81.2	Å³/f.u.
DFT total energy	-3.615	eV per atom

A relaxed CaHo2In3Te6 crystal, computed with GGA-PBE.

abc: 7.700 7.700 8.214
angles: 98.96 98.96 120.01
Atoms (fractional coordinates):
1 Ca 0.000 0.000 0.000
2 Ho 0.333 0.667 0.000
3 Ho 0.667 0.333 0.000
4 In 0.164 0.836 0.500
5 In 0.500 0.500 0.500
6 In 0.836 0.164 0.500
7 Te 0.076 0.420 0.228
8 Te 0.269 0.269 0.775
9 Te 0.420 0.076 0.228
10 Te 0.580 0.924 0.772
11 Te 0.731 0.731 0.225
12 Te 0.924 0.580 0.772

Summary:
raw formation energy	-934	meV per atom
calculated volume	400.7	Å³/f.u.
DFT total energy	-4.119	eV per atom

A relaxed Cr2MoW crystal, computed with GGA-PBE.

abc: 2.656 4.213 5.077
angles: 90.00 99.64 90.00
Atoms (fractional coordinates):
1 Cr 0.246 0.000 0.249
2 Cr 0.754 0.000 0.751
3 Mo 0.000 0.500 0.500
4 W 0.500 0.500 0.000

Summary:
calculated volume	56.0	Å³/f.u.
ΔE_f	0.10	eV per atom
DFT total energy	-10.662	eV per atom